# 1
Here is CdBiRhO6 after structural relaxation from Alexandria. Energies are from GGA-PBE.

a = 5.4771 Å, b = 5.4771 Å, c = 9.4728 Å
α = 90.00°, β = 90.00°, γ = 120.00°
Atoms (fractional coordinates):
1 O 0.9721 0.6250 0.3668
2 O 0.9721 0.3471 0.1332
3 O 0.6250 0.6529 0.6332
4 Cd 0.0000 0.0000 0.0000
5 O 0.3750 0.0279 0.1332
6 O 0.6250 0.9721 0.8668
7 O 0.6529 0.6250 0.1332
8 Bi 0.3333 0.6667 0.2500
9 O 0.3471 0.9721 0.6332
10 Rh 0.6667 0.3333 0.2500
11 Cd 0.0000 0.0000 0.5000
12 Rh 0.3333 0.6667 0.7500
13 O 0.0279 0.6529 0.8668
14 O 0.3750 0.3471 0.3668
15 O 0.6529 0.0279 0.3668
16 O 0.0279 0.3750 0.6332
17 O 0.3471 0.3750 0.8668
18 Bi 0.6667 0.3333 0.7500

Values from the calculation:
Symmetry: P-31c, No. 163

# 2
Here is CdBi2RhO6 after structural relaxation from Alexandria. Energies are from GGA-PBE.

a = 5.8091 Å, b = 5.8091 Å, c = 5.9423 Å
α = 60.74°, β = 60.74°, γ = 60.00°
Atoms (fractional coordinates):
1 Bi 0.0216 0.0216 0.9351
2 O 0.1321 0.4325 0.7691
3 O 0.9762 0.5875 0.2453
4 O 0.6663 0.1321 0.7691
5 O 0.5875 0.1910 0.2453
6 Bi 0.5323 0.5323 0.4030
7 O 0.1910 0.9762 0.2453
8 O 0.4325 0.6663 0.7691
9 Rh 0.3212 0.3212 0.0363
10 Cd 0.8008 0.8009 0.5975

Values from the calculation:
Symmetry: R3, No. 146

# 3
Here is CdBiRhO2 after structural relaxation from Alexandria. Energies are from GGA-PBE.

a = 4.1653 Å, b = 6.8009 Å, c = 4.1653 Å
α = 90.00°, β = 90.00°, γ = 90.00°
Atoms (fractional coordinates):
1 O 0.0000 0.0000 0.5000
2 Bi 0.0000 0.0000 0.0000
3 O 0.5000 0.0000 0.0000
4 Rh 0.5000 0.5000 0.5000
5 Cd 0.0000 0.5000 0.0000

Values from the calculation:
Symmetry: P4/mmm, No. 123
E above lowest polymorph (eV/atom): 0.0735

# 4
Here is CdBiRhO2 after structural relaxation from Alexandria. Energies are from GGA-PBE.

a = 4.0969 Å, b = 5.2674 Å, c = 4.0969 Å
α = 90.00°, β = 90.00°, γ = 90.00°
Atoms (fractional coordinates):
1 O 0.5000 0.0000 0.0000
2 Cd 0.0000 0.0000 0.0000
3 Rh 0.0000 0.5000 0.0000
4 Bi 0.5000 0.5000 0.5000
5 O 0.0000 0.0000 0.5000

Values from the calculation:
Symmetry: P4/mmm, No. 123
E above lowest polymorph (eV/atom): 0.0000

# 5
Here is CdBiRuO6 after structural relaxation from Alexandria. Energies are from GGA-PBE.

a = 4.9427 Å, b = 4.9427 Å, c = 10.0963 Å
α = 90.00°, β = 90.00°, γ = 90.00°
Atoms (fractional coordinates):
1 O 0.8162 0.1838 0.1876
2 O 0.3171 0.3171 0.9767
3 Bi 0.5000 0.5000 0.1682
4 O 0.6829 0.6829 0.9767
5 O 0.6838 0.6838 0.6876
6 O 0.2744 0.2744 0.3323
7 O 0.2256 0.7744 0.8323
8 O 0.3162 0.3162 0.6876
9 Cd 0.0000 0.0000 0.0015
10 O 0.7256 0.7256 0.3323
11 Ru 0.0000 0.0000 0.3371
12 Cd 0.5000 0.5000 0.5015
13 Bi 0.0000 0.0000 0.6682
14 Ru 0.5000 0.5000 0.8371
15 O 0.8171 0.1829 0.4767
16 O 0.1838 0.8162 0.1876
17 O 0.1829 0.8171 0.4767
18 O 0.7744 0.2256 0.8323

Values from the calculation:
Symmetry: P4_2nm, No. 102

# 6
Here is CdBi2RuO6 after structural relaxation from Alexandria. Energies are from GGA-PBE.

a = 5.8326 Å, b = 5.8327 Å, c = 5.9317 Å
α = 60.55°, β = 60.55°, γ = 60.00°
Atoms (fractional coordinates):
1 Bi 0.0236 0.0236 0.9291
2 O 0.1326 0.4364 0.7700
3 O 0.9829 0.5848 0.2450
4 Ru 0.3198 0.3198 0.0405
5 Bi 0.5325 0.5325 0.4026
6 Cd 0.8006 0.8006 0.5982
7 O 0.6610 0.1326 0.7700
8 O 0.1873 0.9829 0.2450
9 O 0.4364 0.6610 0.7699
10 O 0.5848 0.1873 0.2450

Values from the calculation:
Symmetry: R3, No. 146

# 7
Here is Cd2BiRuO8 after structural relaxation from Alexandria. Energies are from GGA-PBE.

a = 5.0318 Å, b = 5.0178 Å, c = 6.6040 Å
α = 90.00°, β = 90.00°, γ = 92.46°
Atoms (fractional coordinates):
1 O 0.1765 0.8199 0.7796
2 O 0.1765 0.8199 0.2204
3 O 0.6985 0.7020 0.5000
4 Cd 0.5000 0.5000 0.2422
5 O 0.8235 0.1801 0.2204
6 Bi 0.0000 0.0000 0.5000
7 O 0.7317 0.7350 0.0000
8 O 0.8235 0.1801 0.7796
9 O 0.3015 0.2980 0.5000
10 Cd 0.5000 0.5000 0.7578
11 O 0.2683 0.2650 0.0000
12 Ru 0.0000 0.0000 0.0000

Values from the calculation:
Symmetry: P2/m, No. 10

# 8
Here is CdBiS2O8 after structural relaxation from Alexandria. Energies are from GGA-PBE.

a = 5.3127 Å, b = 5.3127 Å, c = 7.4874 Å
α = 90.00°, β = 90.00°, γ = 120.00°
Atoms (fractional coordinates):
1 Bi 0.0000 0.0000 0.5000
2 O 0.1792 0.3585 0.7840
3 Cd 0.0000 0.0000 0.0000
4 O 0.8208 0.1793 0.2160
5 O 0.6667 0.3333 0.4791
6 O 0.6415 0.8207 0.7840
7 S 0.6667 0.3333 0.2820
8 O 0.3585 0.1793 0.2160
9 O 0.3333 0.6667 0.5209
10 S 0.3333 0.6667 0.7180
11 O 0.8208 0.6415 0.2160
12 O 0.1792 0.8207 0.7840

Values from the calculation:
Symmetry: P-3m1, No. 164

Ordered total energy results: -5.404 -5.587 -4.050 -4.123 -5.751 -5.821 -5.318 -5.564; unit eV/atom.